Entry 1:
# PBE PrInSb2, relaxed
data_PrInSb2
_chemical_formula_sum 'Pr2 In2 Sb4'
_space_group_name_H-M_alt 'P 4/n m m'
_space_group_IT_number 129
_cell_length_a 4.480
_cell_length_b 4.480
_cell_length_c 11.667
_cell_angle_alpha 90.00
_cell_angle_beta 90.00
_cell_angle_gamma 90.00
loop_
_space_group_symop_operation_xyz
'x,y,z'
'-x,-y,-z'
'-y+1/2,x,z'
'y+1/2,-x,-z'
'-x+1/2,-y+1/2,z'
'x+1/2,y+1/2,-z'
'y,-x+1/2,z'
'-y,x+1/2,-z'
'x+1/2,-y,-z'
'-x+1/2,y,z'
'-y,-x,-z'
'y,x,z'
'-x,y+1/2,-z'
'x,-y+1/2,z'
'y+1/2,x+1/2,-z'
'-y+1/2,-x+1/2,z'
loop_
_atom_site_label
_atom_site_type_symbol
_atom_site_fract_x
_atom_site_fract_y
_atom_site_fract_z
_atom_site_occupancy
Pr1 Pr 0.250 0.250 0.215 1
In1 In 0.250 0.750 0.500 1
Sb1 Sb 0.250 0.250 0.725 1
Sb2 Sb 0.250 0.750 0.000 1
# relative energy among the computed polymorphs: 15 meV per atom
# size of the total moment: 0.00 μB/cell

***

Entry 2:
# PBE Pr7In2Sb2, relaxed
data_Pr7In2Sb2
_chemical_formula_sum 'Pr14 In4 Sb4'
_space_group_name_H-M_alt 'C m m m'
_space_group_IT_number 65
_space_group_name_Hall '-C 2 2'
_cell_length_a 8.618
_cell_length_b 11.514
_cell_length_c 7.744
_cell_angle_alpha 90.00
_cell_angle_beta 90.00
_cell_angle_gamma 90.00
loop_
_atom_site_label
_atom_site_type_symbol
_atom_site_fract_x
_atom_site_fract_y
_atom_site_fract_z
_atom_site_occupancy
Pr1 Pr 0.000 0.000 0.000 1
Pr2 Pr 0.000 0.500 0.265 1
Pr3 Pr 0.250 0.250 0.284 1
In1 In 0.169 0.000 0.500 1
Sb1 Sb 0.000 0.281 0.000 1
# size of the total moment: 0.00 μB/cell

***

| no. | ΔE_f (raw) (eV/atom) |
| --- | --- |
| 1 | -0.544 |
| 2 | -0.399 |